24
Lattice="4.730 0.000 0.000 0.000 13.507 0.000 0.000 0.000 13.363" Properties=species:S:1:pos:R:3 comment="Sr3GePb2, relaxed, DFT PBE" rho_g_cm3=5.8 e_tot_ev_per_atom=-3.333 space_group="Pnma (62)" m_tot_mub_per_fu=0.00 pbc="T T T"
Pb 1.183 11.012 13.117
Pb 3.548 6.813 2.634
Pb 3.548 4.258 6.928
Pb 3.548 2.495 0.246
Pb 1.183 9.249 6.435
Pb 1.183 0.059 4.047
Pb 3.548 13.448 9.316
Pb 1.183 6.694 10.729
Sr 1.183 6.125 5.131
Sr 3.548 8.380 12.489
Sr 1.183 0.628 11.812
Sr 3.548 11.880 5.807
Sr 1.183 1.627 7.556
Sr 3.548 7.382 8.232
Sr 3.548 3.944 10.557
Sr 3.548 12.879 1.551
Sr 3.548 2.810 3.875
Sr 1.183 5.127 0.874
Sr 1.183 9.563 2.806
Sr 1.183 10.697 9.488
Ge 1.183 2.091 1.966
Ge 3.548 8.844 4.715
Ge 3.548 11.416 11.396
Ge 1.183 4.662 8.648